# Pm5Pa2Se12

A relaxed Pm5Pa2Se12 crystal (PBE-GGA, the Alexandria database).

Results
- DOS(E_F) (states/eV per cell) = 7.7
- total moment (μB per formula unit) = 1.0
- V (A^3/atom) = 30.20
- density (Mg/m³) = 6.18
- E_tot (eV/atom) = -6.11

Cell and atoms, written as CIF:
```
data_Pm5Pa2Se12
_chemical_formula_sum 'Pm10 Pa4 Se24'
_cell_length_a 16.276
_cell_length_b 7.799
_cell_length_c 9.470
_cell_angle_alpha 90.00
_cell_angle_beta 107.34
_cell_angle_gamma 90.00
_space_group_name_H-M_alt 'C 1 2/m 1'
_space_group_IT_number 12
loop_
_space_group_symop_operation_xyz
'x,y,z'
'-x,-y,-z'
'-x,y,-z'
'x,-y,z'
'x+1/2,y+1/2,z'
'-x+1/2,-y+1/2,-z'
'-x+1/2,y+1/2,-z'
'x+1/2,-y+1/2,z'
loop_
_atom_site_label
_atom_site_type_symbol
_atom_site_fract_x
_atom_site_fract_y
_atom_site_fract_z
Pm1 Pm 0.000 0.000 0.000
Pm2 Pm 0.187 0.500 0.321
Pm3 Pm 0.208 0.500 0.865
Pa1 Pa 0.000 0.259 0.500
Se1 Se 0.002 0.500 0.726
Se2 Se 0.009 0.000 0.306
Se3 Se 0.148 0.253 0.063
Se4 Se 0.177 0.269 0.594
```

# AcPaCuGe

A relaxed AcPaCuGe crystal (PBE-GGA, the Alexandria database).

Results
- DOS(E_F) (states/eV per cell) = 36.6
- total moment (μB per formula unit) = 1.4
- V (A^3/atom) = 24.72
- density (Mg/m³) = 9.98
- E_tot (eV/atom) = -5.59

Cell and atoms, written as CIF:
```
data_AcPaCuGe
_chemical_formula_sum 'Ac4 Pa4 Cu4 Ge4'
_cell_length_a 7.340
_cell_length_b 7.340
_cell_length_c 7.340
_cell_angle_alpha 90.00
_cell_angle_beta 90.00
_cell_angle_gamma 90.00
_space_group_name_H-M_alt 'F -4 3 m'
_space_group_IT_number 216
_space_group_name_Hall 'F -4 2 3'
loop_
_atom_site_label
_atom_site_type_symbol
_atom_site_fract_x
_atom_site_fract_y
_atom_site_fract_z
Ac1 Ac 0.000 0.000 0.000
Pa1 Pa 0.000 0.000 0.500
Cu1 Cu 0.250 0.250 0.750
Ge1 Ge 0.250 0.250 0.250
```

# NaLaAg4

A relaxed NaLaAg4 crystal (PBE-GGA, the Alexandria database).

Results
- DOS(E_F) (states/eV per cell) = 29.5
- total moment (μB per formula unit) = 0.0
- V (A^3/atom) = 22.39
- density (Mg/m³) = 7.34
- E_tot (eV/atom) = -3.08

Cell and atoms, written as CIF:
```
data_NaLaAg4
_chemical_formula_sum 'Na4 La4 Ag16'
_cell_length_a 8.130
_cell_length_b 8.130
_cell_length_c 8.130
_cell_angle_alpha 90.00
_cell_angle_beta 90.00
_cell_angle_gamma 90.00
_space_group_name_H-M_alt 'F -4 3 m'
_space_group_IT_number 216
_space_group_name_Hall 'F -4 2 3'
loop_
_atom_site_label
_atom_site_type_symbol
_atom_site_fract_x
_atom_site_fract_y
_atom_site_fract_z
Na1 Na 0.000 0.000 0.000
La1 La 0.250 0.250 0.250
Ag1 Ag 0.126 0.126 0.626
```

# BaTc2Mo

A relaxed BaTc2Mo crystal (PBE-GGA, the Alexandria database).

Results
- DOS(E_F) (states/eV per cell) = 8.4
- total moment (μB per formula unit) = 0.0
- V (A^3/atom) = 18.88
- density (Mg/m³) = 9.44
- E_tot (eV/atom) = -7.08

Cell and atoms, written as CIF:
```
data_BaTc2Mo
_chemical_formula_sum 'Ba2 Tc4 Mo2'
_cell_length_a 6.173
_cell_length_b 9.020
_cell_length_c 2.954
_cell_angle_alpha 90.00
_cell_angle_beta 113.30
_cell_angle_gamma 90.00
_space_group_name_H-M_alt 'C 1 2/m 1'
_space_group_IT_number 12
loop_
_space_group_symop_operation_xyz
'x,y,z'
'-x,-y,-z'
'-x,y,-z'
'x,-y,z'
'x+1/2,y+1/2,z'
'-x+1/2,-y+1/2,-z'
'-x+1/2,y+1/2,-z'
'x+1/2,-y+1/2,z'
loop_
_atom_site_label
_atom_site_type_symbol
_atom_site_fract_x
_atom_site_fract_y
_atom_site_fract_z
Ba1 Ba 0.000 0.000 0.000
Tc1 Tc 0.250 0.250 0.500
Mo1 Mo 0.000 0.500 0.000
```

# ScRe2Sb

A relaxed ScRe2Sb crystal (PBE-GGA, the Alexandria database).

Results
- DOS(E_F) (states/eV per cell) = 6.2
- total moment (μB per formula unit) = 0.0
- V (A^3/atom) = 17.96
- density (Mg/m³) = 12.46
- E_tot (eV/atom) = -8.31

Cell and atoms, written as CIF:
```
data_ScRe2Sb
_chemical_formula_sum 'Sc2 Re4 Sb2'
_cell_length_a 3.306
_cell_length_b 4.949
_cell_length_c 8.781
_cell_angle_alpha 90.00
_cell_angle_beta 90.00
_cell_angle_gamma 90.00
_space_group_name_H-M_alt 'C m m m'
_space_group_IT_number 65
_space_group_name_Hall '-C 2 2'
loop_
_atom_site_label
_atom_site_type_symbol
_atom_site_fract_x
_atom_site_fract_y
_atom_site_fract_z
Sc1 Sc 0.000 0.000 0.000
Re1 Re 0.000 0.500 0.252
Sb1 Sb 0.000 0.000 0.500
```

# PmReSi2

A relaxed PmReSi2 crystal (PBE-GGA, the Alexandria database).

Results
- DOS(E_F) (states/eV per cell) = 5.8
- total moment (μB per formula unit) = 0.0
- V (A^3/atom) = 17.45
- density (Mg/m³) = 9.21
- E_tot (eV/atom) = -7.04

Cell and atoms, written as CIF:
```
data_PmReSi2
_chemical_formula_sum 'Pm3 Re3 Si6'
_cell_length_a 4.7109
_cell_length_b 4.7109
_cell_length_c 10.8974
_cell_angle_alpha 90.00
_cell_angle_beta 90.00
_cell_angle_gamma 120.00
_space_group_name_H-M_alt 'R -3 m'
_space_group_IT_number 166
_space_group_name_Hall '-R 3 2"'
loop_
_atom_site_label
_atom_site_type_symbol
_atom_site_fract_x
_atom_site_fract_y
_atom_site_fract_z
Pm1 Pm 0.0000 0.0000 0.0000
Re1 Re 0.0000 0.0000 0.5000
Si1 Si 0.0000 0.0000 0.2590
```

# Rb2PPt2

A relaxed Rb2PPt2 crystal (PBE-GGA, the Alexandria database).

Results
- DOS(E_F) (states/eV per cell) = 9.0
- total moment (μB per formula unit) = 0.4
- V (A^3/atom) = 27.03
- density (Mg/m³) = 7.27
- E_tot (eV/atom) = -2.75

Cell and atoms, written as CIF:
```
data_Rb2PPt2
_chemical_formula_sum 'Rb4 P2 Pt4'
_cell_length_a 4.350
_cell_length_b 4.350
_cell_length_c 14.287
_cell_angle_alpha 90.00
_cell_angle_beta 90.00
_cell_angle_gamma 90.00
_space_group_name_H-M_alt 'I 4/m m m'
_space_group_IT_number 139
_space_group_name_Hall '-I 4 2'
loop_
_atom_site_label
_atom_site_type_symbol
_atom_site_fract_x
_atom_site_fract_y
_atom_site_fract_z
Rb1 Rb 0.000 0.500 0.250
P1 P 0.000 0.000 0.000
Pt1 Pt 0.000 0.000 0.412
```

# NiIrRu2

A relaxed NiIrRu2 crystal (PBE-GGA, the Alexandria database).

Results
- DOS(E_F) (states/eV per cell) = 5.3
- total moment (μB per formula unit) = 0.0
- V (A^3/atom) = 13.41
- density (Mg/m³) = 14.03
- E_tot (eV/atom) = -8.20

Cell and atoms, written as CIF:
```
data_NiIrRu2
_chemical_formula_sum 'Ni1 Ir1 Ru2'
_cell_length_a 2.699
_cell_length_b 2.699
_cell_length_c 7.362
_cell_angle_alpha 90.00
_cell_angle_beta 90.00
_cell_angle_gamma 90.00
_space_group_name_H-M_alt 'P 4/m m m'
_space_group_IT_number 123
_space_group_name_Hall '-P 4 2'
loop_
_atom_site_label
_atom_site_type_symbol
_atom_site_fract_x
_atom_site_fract_y
_atom_site_fract_z
Ni1 Ni 0.000 0.000 0.000
Ir1 Ir 0.000 0.000 0.500
Ru1 Ru 0.500 0.500 0.239
```

# Nd2SI

A relaxed Nd2SI crystal (PBE-GGA, the Alexandria database).

Results
- DOS(E_F) (states/eV per cell) = 9.3
- total moment (μB per formula unit) = 0.0
- V (A^3/atom) = 28.30
- density (Mg/m³) = 6.56
- E_tot (eV/atom) = -5.26

Cell and atoms, written as CIF:
```
data_Nd2SI
_chemical_formula_sum 'Nd6 S3 I3'
_cell_length_a 4.0527
_cell_length_b 4.0527
_cell_length_c 23.8755
_cell_angle_alpha 90.00
_cell_angle_beta 90.00
_cell_angle_gamma 120.00
_space_group_name_H-M_alt 'R 3 m'
_space_group_IT_number 160
_space_group_name_Hall 'R 3 -2"'
loop_
_atom_site_label
_atom_site_type_symbol
_atom_site_fract_x
_atom_site_fract_y
_atom_site_fract_z
Nd1 Nd 0.0000 0.0000 0.0000
Nd2 Nd 0.0000 0.0000 0.2030
S1 S 0.0000 0.0000 0.6021
I1 I 0.0000 0.0000 0.7693
```

# CsLaCuCl6

A relaxed CsLaCuCl6 crystal (PBE-GGA, the Alexandria database).

Results
- total moment (μB per formula unit) = 1.0
- V (A^3/atom) = 36.10
- density (Mg/m³) = 2.80
- E_tot (eV/atom) = -3.99

Cell and atoms, written as CIF:
```
data_CsLaCuCl6
_chemical_formula_sum 'Cs1 La1 Cu1 Cl6'
_cell_length_a 6.709
_cell_length_b 6.716
_cell_length_c 7.829
_cell_angle_alpha 94.64
_cell_angle_beta 94.77
_cell_angle_gamma 111.40
_space_group_name_H-M_alt 'P 1'
_space_group_IT_number 1
loop_
_space_group_symop_operation_xyz
'x,y,z'
loop_
_atom_site_label
_atom_site_type_symbol
_atom_site_fract_x
_atom_site_fract_y
_atom_site_fract_z
Cs1 Cs 0.000 0.000 0.000
La1 La 0.361 0.639 0.500
Cu1 Cu 0.719 0.282 0.500
Cl1 Cl 0.041 0.314 0.650
Cl2 Cl 0.049 0.575 0.239
Cl3 Cl 0.427 0.950 0.763
Cl4 Cl 0.455 0.309 0.308
Cl5 Cl 0.685 0.960 0.350
Cl6 Cl 0.693 0.545 0.692
```

# PmTm12Co6

A relaxed PmTm12Co6 crystal (PBE-GGA, the Alexandria database).

Results
- DOS(E_F) (states/eV per cell) = 30.6
- total moment (μB per formula unit) = 0.0
- V (A^3/atom) = 23.61
- density (Mg/m³) = 9.35
- E_tot (eV/atom) = -5.48

Cell and atoms, written as CIF:
```
data_PmTm12Co6
_chemical_formula_sum 'Pm2 Tm24 Co12'
_cell_length_a 9.644
_cell_length_b 9.644
_cell_length_c 9.644
_cell_angle_alpha 90.00
_cell_angle_beta 90.00
_cell_angle_gamma 90.00
_space_group_name_H-M_alt 'I m -3'
_space_group_IT_number 204
_space_group_name_Hall '-I 2 2 3'
loop_
_atom_site_label
_atom_site_type_symbol
_atom_site_fract_x
_atom_site_fract_y
_atom_site_fract_z
Pm1 Pm 0.000 0.000 0.000
Tm1 Tm 0.000 0.193 0.309
Co1 Co 0.000 0.386 0.500
```

# LaCdRe3

A relaxed LaCdRe3 crystal (PBE-GGA, the Alexandria database).

Results
- DOS(E_F) (states/eV per cell) = 9.3
- total moment (μB per formula unit) = 0.0
- V (A^3/atom) = 23.07
- density (Mg/m³) = 11.66
- E_tot (eV/atom) = -5.76

Cell and atoms, written as CIF:
```
data_LaCdRe3
_chemical_formula_sum 'La1 Cd1 Re3'
_cell_length_a 4.868
_cell_length_b 4.868
_cell_length_c 4.868
_cell_angle_alpha 90.00
_cell_angle_beta 90.00
_cell_angle_gamma 90.00
_space_group_name_H-M_alt 'P m -3 m'
_space_group_IT_number 221
_space_group_name_Hall '-P 4 2 3'
loop_
_atom_site_label
_atom_site_type_symbol
_atom_site_fract_x
_atom_site_fract_y
_atom_site_fract_z
La1 La 0.000 0.000 0.000
Cd1 Cd 0.500 0.500 0.500
Re1 Re 0.000 0.000 0.500
```